# MoPdRuRh (PBE, optimized geometry)
data_MoPdRuRh
_cell_length_a 2.7779
_cell_length_b 2.7779
_cell_length_c 8.8872
_cell_angle_alpha 90.00
_cell_angle_beta 90.00
_cell_angle_gamma 120.00
_space_group_name_H-M_alt 'P 3 m 1'
_space_group_IT_number 156
loop_
_space_group_symop_operation_xyz
'x,y,z'
'-y,x-y,z'
'-x+y,-x,z'
'-y,-x,z'
'-x+y,y,z'
'x,x-y,z'
loop_
_atom_site_label
_atom_site_type_symbol
_atom_site_fract_x
_atom_site_fract_y
_atom_site_fract_z
_atom_site_occupancy
Mo1 Mo 0.0000 0.0000 0.0000 1
Pd1 Pd 0.0000 0.0000 0.5054 1
Ru1 Ru 0.3333 0.6667 0.7622 1
Rh1 Rh 0.3333 0.6667 0.2422 1
# Calculated density in Mg/m³: 11.4
# Formation energy from the elements in eV per atom: -0.04
# DFT total energy in eV per atom: -8.21

---

# ZnAgOs2 (PBE, optimized geometry)
data_ZnAgOs2
_cell_length_a 5.2047
_cell_length_b 8.5289
_cell_length_c 2.7378
_cell_angle_alpha 90.00
_cell_angle_beta 90.00
_cell_angle_gamma 90.00
_space_group_name_H-M_alt 'C m m m'
_space_group_IT_number 65
_space_group_name_Hall '-C 2 2'
loop_
_atom_site_label
_atom_site_type_symbol
_atom_site_fract_x
_atom_site_fract_y
_atom_site_fract_z
_atom_site_occupancy
Zn1 Zn 0.0000 0.0000 0.0000 1
Ag1 Ag 0.0000 0.5000 0.0000 1
Os1 Os 0.2500 0.2500 0.5000 1
# Calculated density in Mg/m³: 15.1
# Formation energy from the elements in eV per atom: 0.71
# DFT total energy in eV per atom: -5.94

---

# La2Th3Sn4 (PBE, optimized geometry)
data_La2Th3Sn4
_cell_length_a 8.5928
_cell_length_b 8.5828
_cell_length_c 8.3160
_cell_angle_alpha 90.00
_cell_angle_beta 110.81
_cell_angle_gamma 90.00
_space_group_name_H-M_alt 'P 1 21/c 1'
_space_group_IT_number 14
loop_
_space_group_symop_operation_xyz
'x,y,z'
'-x,-y,-z'
'-x,y+1/2,-z+1/2'
'x,-y+1/2,z+1/2'
loop_
_atom_site_label
_atom_site_type_symbol
_atom_site_fract_x
_atom_site_fract_y
_atom_site_fract_z
_atom_site_occupancy
La1 La 0.1933 0.1758 0.0635 1
Th1 Th 0.2480 0.6750 0.2397 1
Th2 Th 0.5000 0.0000 0.5000 1
Sn1 Sn 0.0827 0.5309 0.8420 1
Sn2 Sn 0.4847 0.1328 0.8663 1
# Calculated density in Mg/m³: 8.4
# Formation energy from the elements in eV per atom: -0.65
# DFT total energy in eV per atom: -6.00

---

# MgTlRe (PBE, optimized geometry)
data_MgTlRe
_cell_length_a 3.0321
_cell_length_b 3.0321
_cell_length_c 7.2345
_cell_angle_alpha 90.00
_cell_angle_beta 90.00
_cell_angle_gamma 120.00
_space_group_name_H-M_alt 'P 3 m 1'
_space_group_IT_number 156
loop_
_space_group_symop_operation_xyz
'x,y,z'
'-y,x-y,z'
'-x+y,-x,z'
'-y,-x,z'
'-x+y,y,z'
'x,x-y,z'
loop_
_atom_site_label
_atom_site_type_symbol
_atom_site_fract_x
_atom_site_fract_y
_atom_site_fract_z
_atom_site_occupancy
Mg1 Mg 0.0000 0.0000 0.0000 1
Tl1 Tl 0.3333 0.6667 0.6352 1
Re1 Re 0.6667 0.3333 0.3001 1
# Calculated density in Mg/m³: 12.0
# Formation energy from the elements in eV per atom: 0.67
# DFT total energy in eV per atom: -4.80
# Polymorph energy (0 for the lowest one) in meV/atom: 0